VASP calculation (GGA-PBE) on a relaxed Cr2PtBr crystal.

* total DFT energy (no corrections): -6.4878 eV per atom
* magnetic moment: 8.4 μB per cell
* energy above the most stable polymorph in this dataset: 104 meV/atom
* V: 20.1 A^3/atom
* energy relative to the elements, uncorrected: 1.009 eV/f.u.
* ρ: 7.8 Mg/m³

Cell lengths 3.7370, 3.7370, 6.9822 Å; angles 105.48, 105.48, 60.13 degrees
Fractional positions:
Cr1 0.2383 0.2383 0.2167
Cr2 0.7617 0.7617 0.7833
Pt1 0.5000 0.5000 0.0000
Br1 0.0000 0.0000 0.5000


VASP calculation (GGA-PBE) on a relaxed Be4SbMo crystal.

* total DFT energy (no corrections): -4.8484 eV per atom
* magnetic moment: 0.0 μB per cell
* V: 11.5 A^3/atom
* energy relative to the elements, uncorrected: 0.768 eV/f.u.
* ρ: 6.1 Mg/m³

Cell lengths 4.6061, 4.6061, 4.6061 Å; angles 60.00, 60.00, 60.00 degrees
Fractional positions:
Be1 0.3794 0.3794 0.3794
Be2 0.3794 0.3794 0.8619
Be3 0.3794 0.8619 0.3794
Be4 0.8619 0.3794 0.3794
Sb1 0.0000 0.0000 0.0000
Mo1 0.7500 0.7500 0.7500